[1]
NpRePd: relaxed, GGA-PBE.

It has space group Pmmn (No. 59, origin choice 2), with a = 2.9526 Å, b = 4.9458 Å, c = 7.5611 Å, α = 90.00°, β = 90.00° and γ = 90.00°. The inequivalent atoms are Np at (0.2500, 0.2500, 0.2340), Re at (0.2500, 0.7500, 0.4690) and Pd at (0.2500, 0.2500, 0.8674).

The formation energy comes out at 0.72 eV per formula unit. For the magnetization, the calculation gives 5.8 μB per cell.

---

[2]
Np2PdRh: relaxed, GGA-PBE.

It has space group P4/mmm (No. 123), with a = 3.4144 Å, b = 3.4144 Å, c = 7.0534 Å, α = 90.00°, β = 90.00° and γ = 90.00°. The inequivalent atoms are Np at (0.0000, 0.0000, 0.2381), Pd at (0.5000, 0.5000, 0.5000) and Rh at (0.5000, 0.5000, 0.0000).

The formation energy comes out at -0.51 eV per formula unit. For the magnetization, the calculation gives 8.0 μB per cell.

---

[3]
Np2PdRh5: relaxed, GGA-PBE.

It has space group Pbam (No. 55), with a = 5.6842 Å, b = 11.3643 Å, c = 4.0872 Å, α = 90.00°, β = 90.00° and γ = 90.00°. The inequivalent atoms are Np at (0.2360, 0.1284, 0.0000), Pd at (0.0000, 0.5000, 0.5000), Rh at (0.0000, 0.0000, 0.5000), Rh at (0.0124, 0.7498, 0.5000) and Rh at (0.2403, 0.3765, 0.0000).

The formation energy comes out at -3.27 eV per formula unit. For the magnetization, the calculation gives 6.0 μB per cell.

---

[4]
NpPdRh2: relaxed, GGA-PBE.

It has space group P-6m2 (No. 187), with a = 4.6026 Å, b = 4.6026 Å, c = 5.0784 Å, α = 90.00°, β = 90.00° and γ = 120.00°. The inequivalent atoms are Np at (0.0000, 0.0000, 0.0000), Pd at (0.3333, 0.6667, 0.5000), Rh at (0.3333, 0.6667, 0.0000) and Rh at (0.6667, 0.3333, 0.0000).

The formation energy comes out at 1.77 eV per formula unit. For the magnetization, the calculation gives 2.5 μB per cell.

---

What is the formula in the second record? Np2PdRh